The following is a GGA-PBE calculation of a relaxed structure of KRb2Cd2In, from Alexandria.

Results
The formation energy is -0.04 eV/atom.

```
data_KRb2Cd2In
_chemical_formula_sum 'K2 Rb4 Cd4 In2'
_cell_length_a 5.709
_cell_length_b 9.653
_cell_length_c 9.216
_cell_angle_alpha 90.00
_cell_angle_beta 90.00
_cell_angle_gamma 90.00
_space_group_name_H-M_alt 'P m c 21'
_space_group_IT_number 26
loop_
_space_group_symop_operation_xyz
'x,y,z'
'-x,-y,z+1/2'
'-x,y,z'
'x,-y,z+1/2'
loop_
_atom_site_label
_atom_site_fract_x
_atom_site_fract_y
_atom_site_fract_z
K1 0.000 0.035 0.000
Rb1 0.000 0.347 0.315
Rb2 0.500 0.364 0.958
Cd1 0.000 0.278 0.699
Cd2 0.500 0.057 0.276
In1 0.500 0.203 0.579
```